Record 1
DFT (PBE-GGA) results for a geometry-optimized Ac5NdSm structure.

Unit cell a=5.6979 b=5.6979 c=9.5426 alpha=90.00 beta=90.00 gamma=90.00
Space group P4/mmm (No. 123)
Symmetry-distinct sites (fractional):
Ac  0.0000  0.0000  0.0000 [1 per cell]
Ac  0.0000  0.5000  0.2797 [4 per cell]
Nd  0.5000  0.5000  0.0000 [1 per cell]
Sm  0.5000  0.5000  0.5000 [1 per cell]

## Properties
Volume = 309.8 Å³ per cell
Size of the total moment = 0.0000 μB per atom
Formation energy = 0.233 eV/atom
Total energy = -4.06 eV/atom

Record 2
DFT (PBE-GGA) results for a geometry-optimized Ac2Nd8Sm3 structure.

Unit cell a=13.5268 b=12.0842 c=6.3692 alpha=90.00 beta=113.42 gamma=90.00
Space group C2/m (No. 12)
Symmetry-distinct sites (fractional):
Ac  0.2027  0.0000  0.3536 [4 per cell]
Nd  0.0699  0.0000  0.7704 [4 per cell]
Nd  0.1495  0.5000  0.0425 [4 per cell]
Nd  0.1684  0.2467  0.6760 [8 per cell]
Sm  0.0000  0.2527  0.0000 [4 per cell]
Sm  0.0000  0.5000  0.5000 [2 per cell]

## Properties
Volume = 955.3 Å³ per cell
Size of the total moment = 0.0000 μB per atom
Formation energy = 0.174 eV/atom
Relative energy among the computed polymorphs = 0.0 meV per atom
Total energy = -4.48 eV/atom

Record 3
DFT (PBE-GGA) results for a geometry-optimized Ac4Nd5Sm2 structure.

Unit cell a=23.7611 b=3.7507 c=10.2199 alpha=90.00 beta=107.33 gamma=90.00
Space group C2/m (No. 12)
Symmetry-distinct sites (fractional):
Ac  0.0449  0.0000  0.1961 [4 per cell]
Ac  0.1077  0.5000  0.9035 [4 per cell]
Nd  0.0000  0.5000  0.5000 [2 per cell]
Nd  0.1343  0.0000  0.5752 [4 per cell]
Nd  0.2119  0.0000  0.3497 [4 per cell]
Sm  0.2364  0.0000  0.8633 [4 per cell]

## Properties
Volume = 869.5 Å³ per cell
Size of the total moment = 0.0000 μB per atom
Formation energy = 0.176 eV/atom
Total energy = -4.34 eV/atom

Record 4
DFT (PBE-GGA) results for a geometry-optimized AcNdSm4 structure.

Unit cell a=9.5824 b=9.5824 c=9.5824 alpha=90.00 beta=90.00 gamma=90.00
Space group F-43m (No. 216)
Symmetry-distinct sites (fractional):
Ac  0.0000  0.0000  0.0000 [4 per cell]
Nd  0.2500  0.2500  0.7500 [4 per cell]
Sm  0.1241  0.1241  0.3759 [16 per cell]

## Properties
Volume = 879.9 Å³ per cell
Size of the total moment = 0.0006 μB per atom
Formation energy = 0.242 eV/atom
Relative energy among the computed polymorphs = 31.2 meV per atom
Total energy = -4.38 eV/atom

Record 5
DFT (PBE-GGA) results for a geometry-optimized AcNd9Sm2 structure.

Unit cell a=5.2227 b=5.2227 c=15.6949 alpha=90.00 beta=90.00 gamma=90.00
Space group P4/mmm (No. 123)
Symmetry-distinct sites (fractional):
Ac  0.0000  0.0000  0.0000 [1 per cell]
Nd  0.0000  0.5000  0.1724 [4 per cell]
Nd  0.0000  0.5000  0.5000 [2 per cell]
Nd  0.5000  0.5000  0.0000 [1 per cell]
Nd  0.5000  0.5000  0.3366 [2 per cell]
Sm  0.0000  0.0000  0.3356 [2 per cell]

## Properties
Volume = 428.1 Å³ per cell
Size of the total moment = 0.0000 μB per atom
Formation energy = 0.019 eV/atom
Total energy = -4.69 eV/atom

Record 6
DFT (PBE-GGA) results for a geometry-optimized AcNd5Sm structure.

Unit cell a=9.0066 b=10.2085 c=11.8686 alpha=90.00 beta=109.05 gamma=90.00
Space group C2/c (No. 15)
Symmetry-distinct sites (fractional):
Ac  0.2500  0.2500  0.0000 [4 per cell]
Nd  0.0000  0.0814  0.7500 [4 per cell]
Nd  0.1246  0.4280  0.6675 [8 per cell]
Nd  0.1714  0.1037  0.5348 [8 per cell]
Sm  0.0000  0.2589  0.2500 [4 per cell]

## Properties
Volume = 1031.5 Å³ per cell
Size of the total moment = 0.0000 μB per atom
Formation energy = 0.084 eV/atom
Total energy = -4.58 eV/atom

Record 7
DFT (PBE-GGA) results for a geometry-optimized AcNd3Sm7 structure.

Unit cell a=11.9185 b=10.1648 c=6.6341 alpha=90.00 beta=95.13 gamma=90.00
Space group C2/m (No. 12)
Symmetry-distinct sites (fractional):
Ac  0.0000  0.0000  0.0000 [2 per cell]
Nd  0.0000  0.3259  0.5000 [4 per cell]
Nd  0.0000  0.5000  0.0000 [2 per cell]
Sm  0.0000  0.0000  0.5000 [2 per cell]
Sm  0.2344  0.5000  0.7020 [4 per cell]
Sm  0.2487  0.1744  0.7592 [8 per cell]

## Properties
Volume = 800.5 Å³ per cell
Size of the total moment = 0.0000 μB per atom
Formation energy = 0.205 eV/atom
Relative energy among the computed polymorphs = 19.4 meV per atom
Total energy = -4.47 eV/atom

Record 8
DFT (PBE-GGA) results for a geometry-optimized AcNd5Sm4 structure.

Unit cell a=26.3112 b=3.7051 c=7.3716 alpha=90.00 beta=98.25 gamma=90.00
Space group C2/m (No. 12)
Symmetry-distinct sites (fractional):
Ac  0.0000  0.0000  0.0000 [2 per cell]
Nd  0.0000  0.0000  0.5000 [2 per cell]
Nd  0.1027  0.5000  0.7982 [4 per cell]
Nd  0.2010  0.0000  0.6001 [4 per cell]
Sm  0.1026  0.5000  0.3042 [4 per cell]
Sm  0.2008  0.0000  0.1006 [4 per cell]

## Properties
Volume = 711.2 Å³ per cell
Size of the total moment = 0.0000 μB per atom
Formation energy = 0.022 eV/atom
Relative energy among the computed polymorphs = 0.0 meV per atom
Total energy = -4.66 eV/atom

Record 9
DFT (PBE-GGA) results for a geometry-optimized Ac7NdSm12 structure.

Unit cell a=12.0991 b=12.0991 c=12.0991 alpha=90.00 beta=90.00 gamma=90.00
Space group Im-3 (No. 204)
Symmetry-distinct sites (fractional):
Ac  0.0000  0.0000  0.5000 [6 per cell]
Ac  0.2500  0.2500  0.2500 [8 per cell]
Nd  0.0000  0.0000  0.0000 [2 per cell]
Sm  0.0000  0.2457  0.3268 [24 per cell]

## Properties
Volume = 1771.2 Å³ per cell
Size of the total moment = 0.0000 μB per atom
Formation energy = 0.812 eV/atom
Total energy = -3.70 eV/atom

Record 10
DFT (PBE-GGA) results for a geometry-optimized AcNd2Sm3 structure.

Unit cell a=11.3517 b=11.0738 c=6.8658 alpha=90.00 beta=90.00 gamma=90.00
Space group Cmcm (No. 63)
Symmetry-distinct sites (fractional):
Ac  0.0000  0.1058  0.2500 [4 per cell]
Nd  0.1518  0.2507  0.7500 [8 per cell]
Sm  0.0000  0.4168  0.2500 [4 per cell]
Sm  0.2440  0.5000  0.0000 [8 per cell]

## Properties
Volume = 863.1 Å³ per cell
Size of the total moment = 0.0000 μB per atom
Formation energy = 0.188 eV/atom
Relative energy among the computed polymorphs = 162.1 meV per atom
Total energy = -4.45 eV/atom

Record 11
DFT (PBE-GGA) results for a geometry-optimized Ac2Nd2Sm3 structure.

Unit cell a=18.1870 b=3.6908 c=8.9987 alpha=90.00 beta=118.85 gamma=90.00
Space group C2/m (No. 12)
Symmetry-distinct sites (fractional):
Ac  0.1451  0.0000  0.3276 [4 per cell]
Nd  0.0671  0.5000  0.9058 [4 per cell]
Sm  0.0000  0.0000  0.5000 [2 per cell]
Sm  0.2111  0.0000  0.8099 [4 per cell]

## Properties
Volume = 529.1 Å³ per cell
Size of the total moment = 0.0000 μB per atom
Formation energy = 0.107 eV/atom
Relative energy among the computed polymorphs = 0.0 meV per atom
Total energy = -4.45 eV/atom

Record 12
DFT (PBE-GGA) results for a geometry-optimized Ac5NdSm6 structure.

Unit cell a=5.4162 b=10.4196 c=16.2687 alpha=90.00 beta=90.00 gamma=90.00
Space group Immm (No. 71)
Symmetry-distinct sites (fractional):
Ac  0.0000  0.0000  0.0000 [2 per cell]
Ac  0.0000  0.0000  0.3362 [4 per cell]
Ac  0.0000  0.5000  0.3330 [4 per cell]
Nd  0.0000  0.5000  0.0000 [2 per cell]
Sm  0.0000  0.2472  0.5000 [4 per cell]
Sm  0.0000  0.2517  0.1653 [8 per cell]

## Properties
Volume = 918.1 Å³ per cell
Size of the total moment = 0.0000 μB per atom
Formation energy = 0.038 eV/atom
Total energy = -4.43 eV/atom

Record 13
DFT (PBE-GGA) results for a geometry-optimized Ac6Nd8Sm structure.

Unit cell a=9.6000 b=9.6000 c=22.0866 alpha=90.00 beta=90.00 gamma=120.00
Space group R-3 (No. 148, hexagonal axes)
Symmetry-distinct sites (fractional):
Ac  0.0509  0.2514  0.2093 [18 per cell]
Nd  0.0000  0.0000  0.0748 [6 per cell]
Nd  0.0812  0.5682  0.3067 [18 per cell]
Sm  0.0000  0.0000  0.5000 [3 per cell]

## Properties
Volume = 1762.8 Å³ per cell
Size of the total moment = 0.0000 μB per atom
Formation energy = 0.112 eV/atom
Total energy = -4.39 eV/atom

Record 14
DFT (PBE-GGA) results for a geometry-optimized AcNd6Sm2 structure.

Unit cell a=17.5379 b=10.0971 c=3.6301 alpha=90.00 beta=90.08 gamma=90.00
Space group C2/m (No. 12)
Symmetry-distinct sites (fractional):
Ac  0.0000  0.0000  0.0000 [2 per cell]
Nd  0.0000  0.3362  0.5000 [4 per cell]
Nd  0.1686  0.1688  0.4998 [8 per cell]
Sm  0.1666  0.5000  0.9997 [4 per cell]

## Properties
Volume = 642.8 Å³ per cell
Size of the total moment = 0.0000 μB per atom
Formation energy = 0.053 eV/atom
Relative energy among the computed polymorphs = 0.0 meV per atom
Total energy = -4.63 eV/atom

Record 15
DFT (PBE-GGA) results for a geometry-optimized Ac2Nd2Sm7 structure.

Unit cell a=11.8489 b=11.7471 c=6.3295 alpha=90.00 beta=113.91 gamma=90.00
Space group C2/m (No. 12)
Symmetry-distinct sites (fractional):
Ac  0.0000  0.2156  0.0000 [4 per cell]
Nd  0.2464  0.0000  0.0835 [4 per cell]
Sm  0.0000  0.0000  0.5000 [2 per cell]
Sm  0.0961  0.5000  0.3179 [4 per cell]
Sm  0.1718  0.2322  0.6568 [8 per cell]

## Properties
Volume = 805.4 Å³ per cell
Size of the total moment = 0.0000 μB per atom
Formation energy = 0.156 eV/atom
Relative energy among the computed polymorphs = 0.0 meV per atom
Total energy = -4.46 eV/atom

Record 16
DFT (PBE-GGA) results for a geometry-optimized Ac3Nd2Sm2 structure.

Unit cell a=5.6924 b=25.3412 c=3.7659 alpha=90.00 beta=90.00 gamma=90.00
Space group Cmmm (No. 65)
Symmetry-distinct sites (fractional):
Ac  0.0000  0.0000  0.0000 [2 per cell]
Ac  0.0000  0.1519  0.0000 [4 per cell]
Nd  0.0000  0.4269  0.5000 [4 per cell]
Sm  0.0000  0.2852  0.5000 [4 per cell]

## Properties
Volume = 543.2 Å³ per cell
Size of the total moment = 0.0000 μB per atom
Formation energy = 0.047 eV/atom
Total energy = -4.42 eV/atom

Record 17
DFT (PBE-GGA) results for a geometry-optimized Ac6NdSm2 structure.

Unit cell a=9.3609 b=16.9388 c=9.8409 alpha=90.00 beta=102.75 gamma=90.00
Space group C2/c (No. 15)
Symmetry-distinct sites (fractional):
Ac  0.0618  0.2203  0.4465 [8 per cell]
Ac  0.1582  0.4551  0.4225 [8 per cell]
Ac  0.2184  0.1512  0.8640 [8 per cell]
Nd  0.0000  0.0270  0.2500 [4 per cell]
Sm  0.1758  0.3570  0.7490 [8 per cell]

## Properties
Volume = 1521.9 Å³ per cell
Size of the total moment = 0.0000 μB per atom
Formation energy = 0.159 eV/atom
Total energy = -4.16 eV/atom

Record 18
DFT (PBE-GGA) results for a geometry-optimized Ac8NdSm2 structure.

Unit cell a=5.9864 b=9.1437 c=17.1763 alpha=90.00 beta=90.00 gamma=90.00
Space group Immm (No. 71)
Symmetry-distinct sites (fractional):
Ac  0.0000  0.0000  0.1594 [4 per cell]
Ac  0.0000  0.2076  0.3569 [8 per cell]
Ac  0.0000  0.2967  0.0000 [4 per cell]
Nd  0.0000  0.5000  0.5000 [2 per cell]
Sm  0.0000  0.5000  0.1997 [4 per cell]

## Properties
Volume = 940.2 Å³ per cell
Size of the total moment = 0.0000 μB per atom
Formation energy = 0.116 eV/atom
Total energy = -4.16 eV/atom

Record 19
DFT (PBE-GGA) results for a geometry-optimized Ac2NdSm5 structure.

Unit cell a=7.4282 b=14.8603 c=5.2832 alpha=90.00 beta=90.00 gamma=90.00
Space group Pbam (No. 55)
Symmetry-distinct sites (fractional):
Ac  0.2493  0.1255  0.0000 [4 per cell]
Nd  0.0000  0.5000  0.5000 [2 per cell]
Sm  0.0000  0.0000  0.5000 [2 per cell]
Sm  0.0007  0.7504  0.5000 [4 per cell]
Sm  0.2496  0.3751  0.0000 [4 per cell]

## Properties
Volume = 583.2 Å³ per cell
Size of the total moment = 0.0000 μB per atom
Formation energy = 0.034 eV/atom
Total energy = -4.54 eV/atom

Record 20
DFT (PBE-GGA) results for a geometry-optimized AcNd12Sm5 structure.

Unit cell a=15.6225 b=15.6395 c=5.2077 alpha=90.00 beta=90.00 gamma=90.00
Space group Cmmm (No. 65)
Symmetry-distinct sites (fractional):
Ac  0.0000  0.0000  0.0000 [2 per cell]
Nd  0.0000  0.1700  0.5000 [4 per cell]
Nd  0.0000  0.3347  0.0000 [4 per cell]
Nd  0.1662  0.3347  0.5000 [8 per cell]
Nd  0.1685  0.1679  0.0000 [8 per cell]
Sm  0.0000  0.5000  0.5000 [2 per cell]
Sm  0.1665  0.5000  0.0000 [4 per cell]
Sm  0.1700  0.0000  0.5000 [4 per cell]

## Properties
Volume = 1272.4 Å³ per cell
Size of the total moment = 0.0000 μB per atom
Formation energy = 0.018 eV/atom
Total energy = -4.70 eV/atom